A relaxed structure of LaTbIrPd. Source: Alexandria via LeMat-Bulk, functional PBE-GGA.

The energy is -6.71 eV/atom. Its density of states at the Fermi level is 2.5 states/eV/cell. Its crystal system is orthorhombic. The value obtained for the relative energy among the computed polymorphs is 0 meV per atom. The energy of formation from the pure elements is -0.810 eV/atom.

a = 4.5282 Å, b = 5.7034 Å, c = 5.7034 Å
α = 39.38°, β = 90.00°, γ = 90.00°
Closest atoms and distances in Å follow each position.
Sites, in units of the cell vectors:
La (0.0000, 0.0000, 0.0000)  3 Ir 2.86-3.16, 4 Pd 3.04
Tb (0.5000, 0.7230, 0.7230)  4 Ir 3.01, 3 Pd 3.03
Ir (0.0000, 0.2664, 0.2664)  3 La 2.86-3.16, 2 Pd 2.94, 4 Tb 3.01
Pd (0.5000, 0.4412, 0.4412)  2 Ir 2.94, 3 Tb 3.03, 4 La 3.04

***

A relaxed structure of CsRb2BiF. Source: Alexandria via LeMat-Bulk, functional PBE-GGA.

The energy is -2.92 eV/atom. Its density of states at the Fermi level is 4.0 states/eV/cell. Its crystal system is tetragonal. The value obtained for the relative energy among the computed polymorphs is 0 meV per atom.

a = 5.7681 Å, b = 5.7681 Å, c = 5.9890 Å
α = 90.00°, β = 90.00°, γ = 90.00°
Closest atoms and distances in Å follow each position.
Sites, in units of the cell vectors:
Cs (0.0000, 0.0000, 0.0000)  2 F 2.99
Rb (0.0000, 0.5000, 0.5000)  2 F 2.88
Rb (0.5000, 0.0000, 0.5000)  2 F 2.88
Bi (0.5000, 0.5000, 0.0000)  4 Cs 4.08, 8 Rb 4.16
F (0.0000, 0.0000, 0.5000)  4 Rb 2.88, 2 Cs 2.99

***

A relaxed structure of La2Ta3Se2O8. Source: Alexandria via LeMat-Bulk, functional PBE-GGA.

The energy is -8.91 eV/atom. Its crystal system is orthorhombic.

a = 10.0303 Å, b = 12.0862 Å, c = 7.7201 Å
α = 90.00°, β = 90.00°, γ = 90.00°
Closest atoms and distances in Å follow each position.
Sites, in units of the cell vectors:
La (0.2086, 0.1581, 0.0000)  7 O 2.54-2.66
La (0.2274, 0.1500, 0.5000)  7 O 2.53-2.67
La (0.2726, 0.6500, 0.0000)  7 O 2.53-2.67
La (0.2914, 0.6581, 0.5000)  7 O 2.54-2.66
La (0.7086, 0.3419, 0.5000)  7 O 2.54-2.66
La (0.7274, 0.3500, 0.0000)  7 O 2.53-2.67
La (0.7726, 0.8500, 0.5000)  7 O 2.53-2.67
La (0.7914, 0.8419, 0.0000)  7 O 2.54-2.66
Ta (0.0000, 0.5000, 0.2856)  2 O 2.00
Ta (0.0000, 0.5000, 0.7144)  2 O 2.00
Ta (0.1362, 0.9173, 0.2498)  4 O 1.86-1.98
Ta (0.1362, 0.9173, 0.7502)  4 O 1.86-1.98
Ta (0.3638, 0.4173, 0.2502)  4 O 1.86-1.98
Ta (0.3638, 0.4173, 0.7498)  4 O 1.86-1.98
Ta (0.5000, 0.0000, 0.2144)  2 O 2.00
Ta (0.5000, 0.0000, 0.7856)  2 O 2.00
Ta (0.6362, 0.5827, 0.2502)  4 O 1.86-1.98
Ta (0.6362, 0.5827, 0.7498)  4 O 1.86-1.98
Ta (0.8638, 0.0827, 0.2498)  4 O 1.86-1.98
Ta (0.8638, 0.0827, 0.7502)  4 O 1.86-1.98
Se (0.0187, 0.3380, 0.5000)  2 Ta 2.57
Se (0.0232, 0.3635, 0.0000)  2 Ta 2.76, 1 La 2.97
Se (0.4768, 0.8635, 0.5000)  2 Ta 2.76, 1 La 2.97
Se (0.4813, 0.8380, 0.0000)  2 Ta 2.57
Se (0.5187, 0.1620, 0.0000)  2 Ta 2.57
Se (0.5232, 0.1365, 0.5000)  2 Ta 2.76, 1 La 2.97
Se (0.9768, 0.6365, 0.0000)  2 Ta 2.76, 1 La 2.97
Se (0.9813, 0.6620, 0.5000)  2 Ta 2.57
O (0.0558, 0.1018, 0.2545)  1 Ta 1.94
O (0.0558, 0.1018, 0.7455)  1 Ta 1.94
O (0.1346, 0.9464, 0.0000)  2 Ta 1.96
O (0.1500, 0.9501, 0.5000)  2 Ta 1.98
O (0.1971, 0.5233, 0.2656)  2 Ta 2.00-2.11
O (0.1971, 0.5233, 0.7343)  2 Ta 2.00-2.11
O (0.2115, 0.7769, 0.2487)  1 Ta 1.86
O (0.2115, 0.7769, 0.7513)  1 Ta 1.86
O (0.2885, 0.2769, 0.2513)  1 Ta 1.86
O (0.2885, 0.2769, 0.7487)  1 Ta 1.86
O (0.3029, 0.0233, 0.2344)  2 Ta 2.00-2.11
O (0.3029, 0.0233, 0.7657)  2 Ta 2.00-2.11
O (0.3500, 0.4501, 0.0000)  2 Ta 1.98
O (0.3654, 0.4464, 0.5000)  2 Ta 1.96
O (0.4442, 0.6018, 0.2455)  1 Ta 1.94
O (0.4442, 0.6018, 0.7545)  1 Ta 1.94
O (0.5558, 0.3982, 0.2455)  1 Ta 1.94
O (0.5558, 0.3982, 0.7545)  1 Ta 1.94
O (0.6346, 0.5536, 0.5000)  2 Ta 1.96
O (0.6500, 0.5499, 0.0000)  2 Ta 1.98
O (0.6971, 0.9767, 0.2344)  2 Ta 2.00-2.11
O (0.6971, 0.9767, 0.7657)  2 Ta 2.00-2.11
O (0.7115, 0.7231, 0.2513)  1 Ta 1.86
O (0.7115, 0.7231, 0.7487)  1 Ta 1.86
O (0.7885, 0.2231, 0.2487)  1 Ta 1.86
O (0.7885, 0.2231, 0.7513)  1 Ta 1.86
O (0.8029, 0.4767, 0.2656)  2 Ta 2.00-2.11
O (0.8029, 0.4767, 0.7343)  2 Ta 2.00-2.11
O (0.8500, 0.0499, 0.5000)  2 Ta 1.98
O (0.8654, 0.0536, 0.0000)  2 Ta 1.96
O (0.9442, 0.8982, 0.2545)  1 Ta 1.94
O (0.9442, 0.8982, 0.7455)  1 Ta 1.94

***

A relaxed structure of K4Pr3TiSe8. Source: Alexandria via LeMat-Bulk, functional PBE-GGA.

The energy is -4.97 eV/atom. Its density of states at the Fermi level is 6.5 states/eV/cell. Its crystal system is trigonal.

a = 9.1425 Å, b = 9.1425 Å, c = 9.1425 Å
α = 55.56°, β = 55.56°, γ = 55.56°
Closest atoms and distances in Å follow each position.
Sites, in units of the cell vectors:
K (0.0000, 0.0000, 0.0000)  6 Se 3.51
K (0.0000, 0.5000, 0.5000)  6 Se 3.29-3.30
K (0.5000, 0.0000, 0.5000)  6 Se 3.29-3.30
K (0.5000, 0.5000, 0.0000)  6 Se 3.29-3.30
Pr (0.0000, 0.0000, 0.5000)  6 Se 2.97-3.00
Pr (0.0000, 0.5000, 0.0000)  6 Se 2.97-3.00
Pr (0.5000, 0.0000, 0.0000)  6 Se 2.97-3.00
Ti (0.5000, 0.5000, 0.5000)  6 Se 2.75
Se (0.2390, 0.2390, 0.2390)  3 Pr 2.97, 3 K 3.29
Se (0.2603, 0.7210, 0.7210)  1 Ti 2.75, 2 Pr 3.00
Se (0.2790, 0.2790, 0.7397)  1 Ti 2.75, 2 Pr 3.00
Se (0.2790, 0.7397, 0.2790)  1 Ti 2.75, 2 Pr 3.00
Se (0.7210, 0.2603, 0.7210)  1 Ti 2.75, 2 Pr 3.00
Se (0.7210, 0.7210, 0.2603)  1 Ti 2.75, 2 Pr 3.00
Se (0.7397, 0.2790, 0.2790)  1 Ti 2.75, 2 Pr 3.00
Se (0.7610, 0.7610, 0.7610)  3 Pr 2.97, 3 K 3.29

***

A relaxed structure of Pr3Nd2SmTe6. Source: Alexandria via LeMat-Bulk, functional PBE-GGA.

The energy is -5.38 eV/atom. Its density of states at the Fermi level is 6.4 states/eV/cell. Its crystal system is monoclinic.

a = 10.0650 Å, b = 10.0650 Å, c = 9.0615 Å
α = 102.85°, β = 102.85°, γ = 25.74°
Closest atoms and distances in Å follow each position.
Sites, in units of the cell vectors:
Pr (0.0000, 0.0000, 0.0000)  6 Te 3.19-3.22
Pr (0.3321, 0.3321, 0.6670)  6 Te 3.19-3.21
Pr (0.6679, 0.6679, 0.3330)  6 Te 3.19-3.21
Nd (0.3328, 0.3328, 0.1662)  6 Te 3.17-3.19
Nd (0.6672, 0.6672, 0.8338)  6 Te 3.17-3.19
Sm (0.0000, 0.0000, 0.5000)  6 Te 3.14-3.16
Te (0.1644, 0.1644, 0.5835)  1 Sm 3.14, 2 Nd 3.18, 3 Pr 3.20
Te (0.1670, 0.1670, 0.0814)  3 Nd 3.17, 3 Pr 3.19
Te (0.4998, 0.4998, 0.2547)  2 Sm 3.16, 1 Nd 3.19, 3 Pr 3.21-3.22
Te (0.5002, 0.5002, 0.7453)  2 Sm 3.16, 1 Nd 3.19, 3 Pr 3.21-3.22
Te (0.8330, 0.8330, 0.9186)  3 Nd 3.17, 3 Pr 3.19
Te (0.8356, 0.8356, 0.4165)  1 Sm 3.14, 2 Nd 3.18, 3 Pr 3.20

***

A relaxed structure of Tb4YIn5. Source: Alexandria via LeMat-Bulk, functional PBE-GGA.

The energy is -4.35 eV/atom. Its density of states at the Fermi level is 6.3 states/eV/cell. Its crystal system is tetragonal. The energy of formation from the pure elements is -0.480 eV/atom.

a = 3.7624 Å, b = 3.7624 Å, c = 18.9722 Å
α = 90.00°, β = 90.00°, γ = 90.00°
Closest atoms and distances in Å follow each position.
Sites, in units of the cell vectors:
Tb (0.0000, 0.0000, 0.1000)  8 In 3.27
Tb (0.0000, 0.0000, 0.3002)  8 In 3.27
Tb (0.0000, 0.0000, 0.6998)  8 In 3.27
Tb (0.0000, 0.0000, 0.9000)  8 In 3.27
Y (0.0000, 0.0000, 0.5000)  8 In 3.26
In (0.5000, 0.5000, 0.0000)  8 Tb 3.27
In (0.5000, 0.5000, 0.2001)  8 Tb 3.27
In (0.5000, 0.5000, 0.4004)  4 Y 3.26, 4 Tb 3.27
In (0.5000, 0.5000, 0.5996)  4 Y 3.26, 4 Tb 3.27
In (0.5000, 0.5000, 0.7999)  8 Tb 3.27

***

A relaxed structure of SiF3. Source: Alexandria via LeMat-Bulk, functional PBE-GGA.

The energy is -4.00 eV/atom. Its density of states at the Fermi level is 1.5 states/eV/cell. Its crystal system is trigonal.

a = 8.5940 Å, b = 8.5940 Å, c = 8.5940 Å
α = 18.27°, β = 18.27°, γ = 18.27°
Closest atoms and distances in Å follow each position.
Sites, in units of the cell vectors:
Si (0.0000, 0.0000, 0.0000)  2 F 1.61
F (0.0635, 0.0635, 0.0635)  1 Si 1.61
F (0.5000, 0.5000, 0.5000)  12 F 2.73-3.05
F (0.9365, 0.9365, 0.9365)  1 Si 1.61

***

A relaxed structure of Mg7TlSn4. Source: Alexandria via LeMat-Bulk, functional PBE-GGA.

The energy is -2.48 eV/atom. Its density of states at the Fermi level is 4.6 states/eV/cell. Its crystal system is monoclinic. The energy of formation from the pure elements is -0.017 eV/atom.

a = 6.9583 Å, b = 6.9583 Å, c = 10.5913 Å
α = 120.50°, β = 120.50°, γ = 47.20°
Closest atoms and distances in Å follow each position.
Sites, in units of the cell vectors:
Mg (0.0000, 0.0000, 0.0000)  2 Tl 2.79, 2 Sn 2.90, 2 Mg 3.08
Mg (0.1805, 0.1805, 0.8929)  2 Mg 2.96-3.08, 4 Sn 3.00-3.16
Mg (0.2364, 0.2364, 0.6561)  3 Sn 2.95-3.15, 2 Mg 2.96-2.97
Mg (0.4259, 0.4259, 0.5759)  2 Mg 2.97-3.08, 4 Sn 2.99-3.09
Mg (0.5741, 0.5741, 0.4241)  2 Mg 2.97-3.08, 4 Sn 2.99-3.09
Mg (0.7636, 0.7636, 0.3439)  3 Sn 2.95-3.15, 2 Mg 2.96-2.97
Mg (0.8195, 0.8195, 0.1071)  2 Mg 2.96-3.08, 4 Sn 3.00-3.16
Tl (0.5000, 0.5000, 0.0000)  2 Mg 2.79
Sn (0.1028, 0.1028, 0.3226)  5 Mg 2.90-3.08, 1 Sn 3.09
Sn (0.2925, 0.2925, 0.2277)  8 Mg 2.99-3.16, 1 Sn 3.09
Sn (0.7075, 0.7075, 0.7723)  8 Mg 2.99-3.16, 1 Sn 3.09
Sn (0.8972, 0.8972, 0.6774)  5 Mg 2.90-3.08, 1 Sn 3.09

***

A relaxed structure of KRh. Source: Alexandria via LeMat-Bulk, functional PBE-GGA.

The energy is -3.67 eV/atom. Its density of states at the Fermi level is 5.1 states/eV/cell. Its crystal system is orthorhombic. The value obtained for the relative energy among the computed polymorphs is 187 meV per atom. The energy of formation from the pure elements is 0.556 eV/atom.

a = 5.9229 Å, b = 5.9229 Å, c = 5.9229 Å
α = 137.51°, β = 123.28°, γ = 73.37°
Closest atoms and distances in Å follow each position.
Sites, in units of the cell vectors:
K (0.3488, 0.0988, 0.2500)  4 K 3.38-3.59, 8 Rh 3.42-3.66
K (0.6512, 0.9012, 0.7500)  4 K 3.38-3.59, 8 Rh 3.42-3.66
Rh (0.0530, 0.3030, 0.7500)  2 Rh 2.37
Rh (0.9470, 0.6970, 0.2500)  2 Rh 2.37

***

A relaxed structure of Sr3Ti5Se12. Source: Alexandria via LeMat-Bulk, functional PBE-GGA.

The energy is -5.60 eV/atom. Its density of states at the Fermi level is 44.3 states/eV/cell. Its crystal system is cubic.

a = 14.1484 Å, b = 14.1484 Å, c = 14.1484 Å
α = 109.47°, β = 109.47°, γ = 109.47°
Closest atoms and distances in Å follow each position.
Sites, in units of the cell vectors:
Sr (0.1250, 0.2500, 0.3750)  8 Se 3.22-3.27
Sr (0.1250, 0.3750, 0.7500)  8 Se 3.22-3.27
Sr (0.2500, 0.3750, 0.1250)  8 Se 3.22-3.27
Sr (0.2500, 0.8750, 0.6250)  8 Se 3.22-3.27
Sr (0.3750, 0.1250, 0.2500)  8 Se 3.22-3.27
Sr (0.3750, 0.7500, 0.1250)  8 Se 3.22-3.27
Sr (0.6250, 0.2500, 0.8750)  8 Se 3.22-3.27
Sr (0.6250, 0.8750, 0.7500)  8 Se 3.22-3.27
Sr (0.7500, 0.1250, 0.3750)  8 Se 3.22-3.27
Sr (0.7500, 0.6250, 0.8750)  8 Se 3.22-3.27
Sr (0.8750, 0.6250, 0.2500)  8 Se 3.22-3.27
Sr (0.8750, 0.7500, 0.6250)  8 Se 3.22-3.27
Ti (0.0000, 0.0000, 0.0000)  6 Se 2.62
Ti (0.0000, 0.0000, 0.5000)  6 Se 2.62
Ti (0.0000, 0.5000, 0.0000)  6 Se 2.62
Ti (0.0000, 0.5000, 0.5000)  6 Se 2.62
Ti (0.1250, 0.7500, 0.8750)  4 Se 2.41
Ti (0.1250, 0.8750, 0.2500)  4 Se 2.41
Ti (0.2500, 0.1250, 0.8750)  4 Se 2.41
Ti (0.2500, 0.6250, 0.3750)  4 Se 2.41
Ti (0.3750, 0.2500, 0.6250)  4 Se 2.41
Ti (0.3750, 0.6250, 0.7500)  4 Se 2.41
Ti (0.5000, 0.0000, 0.0000)  6 Se 2.62
Ti (0.5000, 0.0000, 0.5000)  6 Se 2.62
Ti (0.5000, 0.5000, 0.0000)  6 Se 2.62
Ti (0.5000, 0.5000, 0.5000)  6 Se 2.62
Ti (0.6250, 0.3750, 0.2500)  4 Se 2.41
Ti (0.6250, 0.7500, 0.3750)  4 Se 2.41
Ti (0.7500, 0.3750, 0.6250)  4 Se 2.41
Ti (0.7500, 0.8750, 0.1250)  4 Se 2.41
Ti (0.8750, 0.1250, 0.7500)  4 Se 2.41
Ti (0.8750, 0.2500, 0.1250)  4 Se 2.41
Se (0.0195, 0.2007, 0.1124)  2 Ti 2.41-2.62
Se (0.0195, 0.3188, 0.9071)  2 Ti 2.41-2.62
Se (0.0883, 0.7007, 0.6812)  2 Ti 2.41-2.62
Se (0.0883, 0.8876, 0.4071)  2 Ti 2.41-2.62
Se (0.0929, 0.6124, 0.4117)  2 Ti 2.41-2.62
Se (0.0929, 0.9805, 0.6812)  2 Ti 2.41-2.62
Se (0.1124, 0.0195, 0.2007)  2 Ti 2.41-2.62
Se (0.1124, 0.5929, 0.9117)  2 Ti 2.41-2.62
Se (0.1812, 0.2007, 0.5883)  2 Ti 2.41-2.62
Se (0.1812, 0.4805, 0.5929)  2 Ti 2.41-2.62
Se (0.2007, 0.1124, 0.0195)  2 Ti 2.41-2.62
Se (0.2007, 0.5883, 0.1812)  2 Ti 2.41-2.62
Se (0.2993, 0.3188, 0.9117)  2 Ti 2.41-2.62
Se (0.2993, 0.4805, 0.3876)  2 Ti 2.41-2.62
Se (0.3188, 0.9071, 0.0195)  2 Ti 2.41-2.62
Se (0.3188, 0.9117, 0.2993)  2 Ti 2.41-2.62
Se (0.3876, 0.2993, 0.4805)  2 Ti 2.41-2.62
Se (0.3876, 0.5883, 0.9071)  2 Ti 2.41-2.62
Se (0.4071, 0.0883, 0.8876)  2 Ti 2.41-2.62
Se (0.4071, 0.8188, 0.5195)  2 Ti 2.41-2.62
Se (0.4117, 0.0929, 0.6124)  2 Ti 2.41-2.62
Se (0.4117, 0.8188, 0.7993)  2 Ti 2.41-2.62
Se (0.4805, 0.3876, 0.2993)  2 Ti 2.41-2.62
Se (0.4805, 0.5929, 0.1812)  2 Ti 2.41-2.62
Se (0.5195, 0.4071, 0.8188)  2 Ti 2.41-2.62
Se (0.5195, 0.6124, 0.7007)  2 Ti 2.41-2.62
Se (0.5883, 0.1812, 0.2007)  2 Ti 2.41-2.62
Se (0.5883, 0.9071, 0.3876)  2 Ti 2.41-2.62
Se (0.5929, 0.1812, 0.4805)  2 Ti 2.41-2.62
Se (0.5929, 0.9117, 0.1124)  2 Ti 2.41-2.62
Se (0.6124, 0.4117, 0.0929)  2 Ti 2.41-2.62
Se (0.6124, 0.7007, 0.5195)  2 Ti 2.41-2.62
Se (0.6812, 0.0883, 0.7007)  2 Ti 2.41-2.62
Se (0.6812, 0.0929, 0.9805)  2 Ti 2.41-2.62
Se (0.7007, 0.5195, 0.6124)  2 Ti 2.41-2.62
Se (0.7007, 0.6812, 0.0883)  2 Ti 2.41-2.62
Se (0.7993, 0.4117, 0.8188)  2 Ti 2.41-2.62
Se (0.7993, 0.8876, 0.9805)  2 Ti 2.41-2.62
Se (0.8188, 0.5195, 0.4071)  2 Ti 2.41-2.62
Se (0.8188, 0.7993, 0.4117)  2 Ti 2.41-2.62
Se (0.8876, 0.4071, 0.0883)  2 Ti 2.41-2.62
Se (0.8876, 0.9805, 0.7993)  2 Ti 2.41-2.62
Se (0.9071, 0.0195, 0.3188)  2 Ti 2.41-2.62
Se (0.9071, 0.3876, 0.5883)  2 Ti 2.41-2.62
Se (0.9117, 0.1124, 0.5929)  2 Ti 2.41-2.62
Se (0.9117, 0.2993, 0.3188)  2 Ti 2.41-2.62
Se (0.9805, 0.6812, 0.0929)  2 Ti 2.41-2.62
Se (0.9805, 0.7993, 0.8876)  2 Ti 2.41-2.62

***

A relaxed structure of NpPaAs2Ru2. Source: Alexandria via LeMat-Bulk, functional PBE-GGA.

The energy is -8.97 eV/atom. Its density of states at the Fermi level is 5.3 states/eV/cell. Its crystal system is trigonal. The energy of formation from the pure elements is -0.585 eV/atom.

a = 4.2415 Å, b = 4.2415 Å, c = 7.3417 Å
α = 90.00°, β = 90.00°, γ = 120.00°
Closest atoms and distances in Å follow each position.
Sites, in units of the cell vectors:
Np (0.0000, 0.0000, 0.0000)  6 Ru 2.89, 6 As 3.15
Pa (0.0000, 0.0000, 0.5000)  6 As 2.98, 6 Ru 3.25
As (0.3333, 0.6667, 0.2697)  3 Ru 2.49
As (0.6667, 0.3333, 0.7303)  3 Ru 2.49
Ru (0.3333, 0.6667, 0.7907)  3 As 2.49
Ru (0.6667, 0.3333, 0.2093)  3 As 2.49

***

A relaxed structure of PrNdDy2Ho. Source: Alexandria via LeMat-Bulk, functional PBE-GGA.

The energy is -4.32 eV/atom. Its density of states at the Fermi level is 15.5 states/eV/cell. Its crystal system is orthorhombic. The energy of formation from the pure elements is 0.346 eV/atom.

a = 8.9598 Å, b = 8.9598 Å, c = 6.4505 Å
α = 90.00°, β = 90.00°, γ = 137.78°
Closest atoms and distances in Å follow each position.
Sites, in units of the cell vectors:
Pr (0.1578, 0.8422, 0.7500)  1 Nd 3.10, 2 Ho 3.47
Pr (0.8422, 0.1578, 0.2500)  1 Nd 3.10, 2 Ho 3.47
Nd (0.3431, 0.6569, 0.7500)  1 Pr 3.10
Nd (0.6569, 0.3431, 0.2500)  1 Pr 3.10
Dy (0.2473, 0.2473, 0.0000)  4 Dy 3.19-3.26, 2 Pr 3.48, 2 Nd 3.48
Dy (0.2473, 0.2473, 0.5000)  4 Dy 3.19-3.26, 2 Pr 3.48, 2 Nd 3.48
Dy (0.7527, 0.7527, 0.0000)  4 Dy 3.19-3.26, 2 Pr 3.48, 2 Nd 3.48
Dy (0.7527, 0.7527, 0.5000)  4 Dy 3.19-3.26, 2 Pr 3.48, 2 Nd 3.48
Ho (0.2342, 0.7658, 0.2500)  4 Pr 3.47-3.70, 4 Nd 3.48-3.70
Ho (0.7658, 0.2342, 0.7500)  4 Pr 3.47-3.70, 4 Nd 3.48-3.70

***

Question: Number 9 is which compound?
Answer: KRh